No. 1
NdPa3Se4, relaxed, DFT GGA-PBE; theoretical density = 9.80 Mg/m³; space-group type = Cmmm, No. 65; calculated total energy = -7.2389 eV per atom; Fermi-level density of states = 13.056 states/eV/f.u.; energy relative to the elements, uncorrected = -129.3 kJ per mole of atoms
1.0
3.9395 -0.0484 0.0677
0.0527 6.9532 1.8947
-0.1205 0.2718 7.2008
Pa Nd Se
3 1 4
Direct
0.0000 0.0001 0.0000
0.0000 0.5001 0.5000
0.5000 0.0001 0.5000
0.5000 0.5001 0.0000
0.0000 0.2464 0.2537
0.4999 0.7515 0.2514
0.5000 0.2487 0.7486
0.0000 0.7538 0.7462



No. 2
Nd3PaSe6, relaxed, DFT GGA-PBE; theoretical density = 6.67 Mg/m³; space-group type = P2_1/m, No. 11; calculated total energy = -6.1780 eV per atom; Fermi-level density of states = 5.782 states/eV/f.u.; energy relative to the elements, uncorrected = -164.7 kJ per mole of atoms; energy above the lowest structure with this stoichiometry = 0 meV per atom
1.0
4.1630 0.0000 0.0000
0.0000 11.3650 -4.1776
0.0000 0.5190 11.7829
Se Nd Pa
12 6 2
Direct
0.2500 0.8924 0.0816
0.2500 0.3806 0.5184
0.7500 0.6194 0.4816
0.2500 0.9263 0.5963
0.2500 0.5384 0.8925
0.7500 0.0737 0.4037
0.7500 0.2853 0.7599
0.7500 0.1076 0.9184
0.2500 0.7147 0.2401
0.7500 0.7498 0.8146
0.7500 0.4616 0.1075
0.2500 0.2502 0.1854
0.7500 0.5044 0.6795
0.7500 0.8339 0.4166
0.7500 0.0753 0.1597
0.2500 0.9247 0.8403
0.2500 0.4956 0.3205
0.2500 0.1661 0.5834
0.7500 0.6933 0.0431
0.2500 0.3067 0.9569



No. 3
NdPa5Se6, relaxed, DFT GGA-PBE; theoretical density = 10.13 Mg/m³; space-group type = C2/m, No. 12; calculated total energy = -7.3889 eV per atom; Fermi-level density of states = 21.630 states/eV/f.u.; energy relative to the elements, uncorrected = -124.7 kJ per mole of atoms
1.0
-5.5164 -4.2813 0.2556
5.1077 -0.4552 4.7465
-3.1982 6.1722 2.3074
Nd Se Pa
1 6 5
Direct
0.0000 0.0000 0.0000
0.2573 0.2573 0.7530
0.7427 0.7427 0.2470
0.9146 0.5767 0.7465
0.0854 0.4233 0.2535
0.5767 0.9146 0.7465
0.4233 0.0854 0.2535
0.3317 0.6683 0.0000
0.8385 0.1615 0.5000
0.1615 0.8385 0.5000
0.6683 0.3317 0.0000
0.5000 0.5000 0.5000



Question: theoretical density of number 2 (Nd3PaSe6)?
Answer: 6.67 Mg/m³



Question: Look up the energy relative to the elements, uncorrected of the first one.
Answer: -129.3 kJ per mole of atoms



Question: What is the Fermi-level density of states in the first record?
Answer: 13.056 states/eV/f.u.



Question: Which value of Fermi-level density of states does entry 1 give?
Answer: 13.056 states/eV/f.u.